Mn2AlFeO6 | PBE with a Hubbard U | optimized geometry

```
Mn2AlFeO6
1.0
5.0484 0.0000 0.0000
2.5059 4.4216 0.0000
2.4986 1.2416 4.5869
Mn Al Fe O
2 1 1 6
direct
0.0000 0.0000 0.0000 Mn
0.4999 0.5002 0.4876 Mn
0.1944 0.2050 0.3911 Al
0.7079 0.7099 0.8775 Fe
0.1034 0.4197 0.6677 O
0.2892 0.9352 0.1843 O
0.4037 0.8127 0.6846 O
0.5761 0.2966 0.1987 O
0.8215 0.0881 0.6992 O
0.9043 0.5676 0.2099 O
```

Properties
The uncorrected energy is -7.271 eV per atom.